An optimized crystal structure of Na2VPCO7, computed with PBE+U.

Computed properties:
As for the distance to the lowest polymorph of the same formula: 0 meV per atom. Its density of states at the Fermi level is 0.0000 states/eV per atom. Its symmetry is P2_1/m. As for the total DFT energy (no corrections): -6.97 eV/atom. For the magnetization, the calculation gives 0.167 μB/atom. As for the crystal system: monoclinic.

```
Na2VPCO7
1.0
5.272 0.000 -0.002
0.000 6.559 0.000
-0.252 0.000 9.088
O Na V C P
14 4 2 2 2
direct
0.960 0.250 0.184 O
0.453 0.750 0.860 O
0.920 0.250 0.553 O
0.813 0.250 0.947 O
0.298 0.441 0.665 O
0.040 0.750 0.816 O
0.702 0.559 0.335 O
0.298 0.059 0.665 O
0.187 0.750 0.053 O
0.702 0.941 0.335 O
0.346 0.250 0.425 O
0.547 0.250 0.140 O
0.080 0.750 0.447 O
0.654 0.750 0.575 O
0.742 0.493 0.773 Na
0.742 0.007 0.773 Na
0.258 0.993 0.227 Na
0.258 0.507 0.227 Na
0.708 0.250 0.352 V
0.292 0.750 0.648 V
0.773 0.250 0.082 C
0.227 0.750 0.918 C
0.786 0.750 0.424 P
0.214 0.250 0.576 P
```